Entry 1:
Density functional theory data (SCAN) for a PBEsol-optimized structure of Ta2SiRh.

Output
- D(E_F): 0.726 states/eV/atom
- DFT total energy: -3.2650 Ry per atom
- Volume: 15.58 Å³/atom
- Energy relative to the elements, uncorrected: -184 meV/atom

a b c (Å): 2.8617 2.8617 26.3554
angles (deg): 90.00 90.00 120.00
With the nearest neighbours (Å) after each atom.
Space group R3m (No. 160, hexagonal axes)
Inequivalent atoms, fractional coordinates:
Ta 0.0000 0.0000 0.0000  3 Si 2.75, 9 Ta 2.86-3.02
Ta 0.0000 0.0000 0.2375  3 Rh 2.78, 9 Ta 2.86-3.02
Si 0.0000 0.0000 0.7500  3 Rh 2.46, 3 Ta 2.75
Rh 0.0000 0.0000 0.4858  3 Si 2.46

=====

Entry 2:
Density functional theory data (SCAN) for a PBEsol-optimized structure of Tb2Si3Rh.

Output
- D(E_F): 0.258 states/eV/atom
- DFT total energy: -2.0003 Ry per atom
- Volume: 18.52 Å³/atom
- Energy relative to the elements, uncorrected: -992 meV/atom

a b c (Å): 8.1171 8.1171 7.7889
angles (deg): 90.00 90.00 120.00
With the nearest neighbours (Å) after each atom.
Space group P6_3/mmc (No. 194)
Inequivalent atoms, fractional coordinates:
Tb 0.0000 0.0000 0.2500  12 Si 3.05-3.06
Tb 0.0177 0.5089 0.2500  4 Rh 2.98-3.14, 8 Si 3.00-3.09
Si 0.1672 0.3345 0.5014  1 Rh 2.35, 2 Si 2.35
Rh 0.3333 0.6667 0.5353  3 Si 2.35

=====

Entry 3:
Density functional theory data (SCAN) for a PBEsol-optimized structure of TbSi2Rh3.

Output
- D(E_F): 0.229 states/eV/atom
- DFT total energy: -2.1445 Ry per atom
- Volume: 15.61 Å³/atom
- Energy relative to the elements, uncorrected: -1159 meV/atom

a b c (Å): 5.4408 5.4408 3.6537
angles (deg): 90.00 90.00 120.00
With the nearest neighbours (Å) after each atom.
Space group P6/mmm (No. 191)
Inequivalent atoms, fractional coordinates:
Tb 0.0000 0.0000 0.0000  6 Si 3.14, 12 Rh 3.28
Si 0.3333 0.6667 0.0000  6 Rh 2.41
Rh 0.0000 0.5000 0.5000  4 Si 2.41

=====

Entry 4:
Density functional theory data (SCAN) for a PBEsol-optimized structure of TbSi2Rh2.

Output
- D(E_F): 0.398 states/eV/atom
- DFT total energy: -2.0663 Ry per atom
- Volume: 15.96 Å³/atom
- Energy relative to the elements, uncorrected: -1246 meV/atom

a b c (Å): 4.0111 4.0111 9.9200
angles (deg): 90.00 90.00 90.00
With the nearest neighbours (Å) after each atom.
Space group I4/mmm (No. 139)
Inequivalent atoms, fractional coordinates:
Tb 0.0000 0.0000 0.0000  8 Si 3.08, 8 Rh 3.19
Si 0.0000 0.0000 0.3784  4 Rh 2.38, 1 Si 2.41
Rh 0.0000 0.5000 0.2500  4 Si 2.38

=====

Entry 5:
Density functional theory data (SCAN) for a PBEsol-optimized structure of Si2TcRh.

Output
- D(E_F): 0.313 states/eV/atom
- DFT total energy: -1.6823 Ry per atom
- Volume: 12.68 Å³/atom
- Energy relative to the elements, uncorrected: -673 meV/atom

a b c (Å): 2.9465 2.9465 5.8399
angles (deg): 90.00 90.00 90.00
With the nearest neighbours (Å) after each atom.
Space group P4/mmm (No. 123)
Inequivalent atoms, fractional coordinates:
Si 0.0000 0.0000 0.2372  4 Tc 2.50, 4 Rh 2.59, 1 Si 2.77
Tc 0.5000 0.5000 0.0000  8 Si 2.50
Rh 0.5000 0.5000 0.5000  8 Si 2.59

=====

Entry 6:
Density functional theory data (SCAN) for a PBEsol-optimized structure of Si2TcRh.

Output
- D(E_F): 0.215 states/eV/atom
- DFT total energy: -1.6702 Ry per atom
- Volume: 13.11 Å³/atom
- Energy relative to the elements, uncorrected: -508 meV/atom

a b c (Å): 2.7395 3.7407 5.1171
angles (deg): 90.00 90.00 90.00
With the nearest neighbours (Å) after each atom.
Space group Pmm2 (No. 25)
Inequivalent atoms, fractional coordinates:
Si 0.0000 0.0000 0.0000  4 Rh 2.48, 2 Tc 2.48-2.63, 2 Si 2.74
Si 0.5000 0.5000 0.3105  2 Rh 2.47-2.65, 4 Tc 2.48, 2 Si 2.74
Tc 0.0000 0.0000 0.4852  6 Si 2.48-2.63, 2 Tc 2.74
Rh 0.5000 0.5000 0.8281  6 Si 2.47-2.65, 2 Rh 2.74

=====

Entry 7:
Density functional theory data (SCAN) for a PBEsol-optimized structure of Si2TcRh.

Output
- D(E_F): 0.533 states/eV/atom
- DFT total energy: -1.6445 Ry per atom
- Volume: 13.53 Å³/atom
- Energy relative to the elements, uncorrected: -159 meV/atom

a b c (Å): 2.8421 2.8421 23.2171
angles (deg): 90.00 90.00 120.00
With the nearest neighbours (Å) after each atom.
Space group R3m (No. 160, hexagonal axes)
Inequivalent atoms, fractional coordinates:
Si 0.0000 0.0000 0.0000  3 Tc 2.43, 3 Si 2.58
Si 0.0000 0.0000 0.2478  3 Rh 2.39, 3 Si 2.58
Tc 0.0000 0.0000 0.7441  3 Si 2.43
Rh 0.0000 0.0000 0.5060  3 Si 2.39

=====

Entry 8:
Density functional theory data (SCAN) for a PBEsol-optimized structure of Si2TcRh.

Output
- D(E_F): 0.788 states/eV/atom
- DFT total energy: -1.6664 Ry per atom
- Volume: 13.14 Å³/atom
- Energy relative to the elements, uncorrected: -456 meV/atom

a b c (Å): 2.8190 2.8190 22.9069
angles (deg): 90.00 90.00 120.00
With the nearest neighbours (Å) after each atom.
Space group R-3m (No. 166, hexagonal axes)
Inequivalent atoms, fractional coordinates:
Si 0.0000 0.0000 0.2492  3 Rh 2.49, 3 Tc 2.52
Tc 0.0000 0.0000 0.0000  6 Si 2.52, 6 Tc 2.82
Rh 0.0000 0.0000 0.5000  6 Si 2.49